A relaxed Rb2TaHCl6 crystal. Source: Alexandria via LeMat-Bulk, functional PBE.

Computed properties:
E_tot: -0.1490 Ha/atom
Density of states at the Fermi level: 0.680 states/eV/atom

Lattice parameters (Å, degrees): 10.4635 10.4635 10.4635 90.00 90.00 90.00
Last column: nearest neighbours and their distance in Å.
Space group Fm-3m (No. 225)
One atom of each set of equivalent atoms:
Rb1 0.2500 0.2500 0.2500 (multiplicity 8)  12 Cl 3.70
Ta1 0.0000 0.0000 0.0000 (multiplicity 4)  6 Cl 2.42
H1 0.0000 0.0000 0.5000 (multiplicity 4)  6 Cl 2.81
Cl1 0.0000 0.0000 0.2317 (multiplicity 24)  1 Ta 2.42